1.
## TbCe4Pr (PBE-GGA)

Data for a relaxed structure of TbCe4Pr.

a = 6.3615 Å, b = 6.3615 Å, c = 6.3615 Å
α = 60.00°, β = 60.00°, γ = 60.00°
With the nearest neighbours (Å) after each atom.
Fractional positions:
Tb 0.0000 0.0000 0.0000  12 Ce 3.72, 4 Pr 3.90
Ce 0.6294 0.1117 0.6294  6 Ce 3.07-3.29
Ce 0.1117 0.6294 0.6294  6 Ce 3.07-3.29
Ce 0.6294 0.6294 0.1117  6 Ce 3.07-3.29
Ce 0.6294 0.6294 0.6294  6 Ce 3.07-3.29
Pr 0.2500 0.2500 0.2500  12 Ce 3.74, 4 Tb 3.90

Output
Symmetry: F-43m
Calculated density: 7.8 g/cm3
Uncorrected energy: -31.9 eV per cell
ΔE_f: 0.20 eV/atom

=====

2.
## La4CoCuCl2 (PBE-GGA)

Data for a relaxed structure of La4CoCuCl2.

a = 4.2146 Å, b = 7.0759 Å, c = 7.8231 Å
α = 106.18°, β = 90.00°, γ = 90.00°
With the nearest neighbours (Å) after each atom.
Fractional positions:
La 0.0000 0.2359 0.7913  1 Co 2.64
Cl 0.5000 0.0000 0.5000  6 La 3.17-3.21
Co 0.0000 0.0000 0.0000  6 La 2.64-2.88
Cu 0.5000 0.5000 0.0000  6 La 2.82-2.98
La 0.5000 0.7668 0.7918  1 Cu 2.82, 2 Co 2.88
Cl 0.0000 0.5000 0.5000  6 La 3.29-3.33
La 0.0000 0.7641 0.2087  1 Co 2.64
La 0.5000 0.2332 0.2082  1 Cu 2.82, 2 Co 2.88

Output
Symmetry: P2/m
Calculated density: 5.6 g/cm3
Uncorrected energy: -41.5 eV per cell

=====

3.
## AlCoCu2 (PBE-GGA)

Data for a relaxed structure of AlCoCu2.

a = 4.9070 Å, b = 4.9070 Å, c = 4.9070 Å
α = 147.03°, β = 130.87°, γ = 60.44°
With the nearest neighbours (Å) after each atom.
Fractional positions:
Cu 0.4986 0.4986 0.0000  4 Cu 2.47, 2 Co 2.53, 2 Al 2.55
Cu 0.0014 0.0014 0.0000  4 Cu 2.47, 2 Co 2.53, 2 Al 2.55
Al 0.7500 0.2500 0.5000  4 Co 2.47, 4 Cu 2.55
Co 0.2500 0.7500 0.5000  4 Al 2.47, 4 Cu 2.53

Output
Symmetry: Immm
Calculated density: 7.3 g/cm3
Uncorrected energy: -19.6 eV per cell
ΔE_f: -0.13 eV/atom

=====

4.
## CeZn3Cu9 (PBE-GGA)

Data for a relaxed structure of CeZn3Cu9.

a = 4.8988 Å, b = 6.5021 Å, c = 6.6434 Å
α = 82.50°, β = 68.36°, γ = 69.26°
With the nearest neighbours (Å) after each atom.
Fractional positions:
Cu 0.3430 0.6412 0.6455  6 Cu 2.49-2.75, 3 Zn 2.65-2.69
Zn 0.0000 0.0000 0.5000  2 Zn 2.45, 8 Cu 2.50-2.67
Cu 0.2799 0.2230 0.2215  3 Zn 2.47-2.52, 7 Cu 2.52-2.75
Cu 0.4986 0.7770 0.2215  3 Zn 2.47-2.52, 7 Cu 2.52-2.75
Zn 0.5000 0.5000 0.0000  10 Cu 2.45-2.69
Cu 0.9886 0.6412 0.3545  6 Cu 2.49-2.75, 3 Zn 2.65-2.69
Cu 0.7201 0.7770 0.7785  3 Zn 2.47-2.52, 7 Cu 2.52-2.75
Ce 0.0000 0.0000 0.0000  14 Cu 3.09-3.25, 6 Zn 3.31-3.32
Cu 0.0000 0.5000 0.0000  2 Zn 2.45, 8 Cu 2.52-2.61
Zn 0.5000 0.0000 0.5000  2 Zn 2.45, 8 Cu 2.50-2.67
Cu 0.5014 0.2230 0.7785  3 Zn 2.47-2.52, 7 Cu 2.52-2.75
Cu 0.6570 0.3588 0.3545  6 Cu 2.49-2.75, 3 Zn 2.65-2.69
Cu 0.0114 0.3588 0.6455  6 Cu 2.49-2.75, 3 Zn 2.65-2.69

Output
Symmetry: C2/m
Calculated density: 8.2 g/cm3
Uncorrected energy: -47.6 eV per cell
ΔE_f: -0.08 eV/atom

=====

The lowest calculated density belongs to which entry?
La4CoCuCl2

=====

Which of these has the highest calculated density?
CeZn3Cu9

=====

What is the formula in the third record?
AlCoCu2